LiGdBeGa (PBE, optimized geometry); total moment = 1.754 μB per atom; E_form = -0.166 eV per atom; density of states at the Fermi level = 1.225 states/eV per cell; VASP energy = -5.85 eV/atom
1.0
0.000 3.194 3.194
3.194 0.000 3.194
3.194 3.194 0.000
Li Gd Be Ga
1 1 1 1
Direct
0.000 0.000 0.000
0.250 0.250 0.250
0.500 0.500 0.500
0.750 0.750 0.750

---

TiIn2Ru2 (PBE, optimized geometry); total moment = 0.000 μB per atom; E_form = -0.076 eV per atom; density of states at the Fermi level = 9.190 states/eV per cell; VASP energy = -6.46 eV/atom
1.0
6.539 0.000 0.000
0.000 6.539 0.000
0.000 0.000 4.250
Ti In Ru
2 4 4
Direct
0.000 0.000 0.000
0.500 0.500 0.000
0.169 0.331 0.500
0.331 0.831 0.500
0.669 0.169 0.500
0.831 0.669 0.500
0.138 0.638 0.000
0.362 0.138 0.000
0.638 0.862 0.000
0.862 0.362 0.000

---

LiTaSi2 (PBE, optimized geometry); total moment = 0.000 μB per atom; density of states at the Fermi level = 1.884 states/eV per cell; VASP energy = -6.34 eV/atom; offset from the most stable computed form = 49 meV/atom
1.0
2.815 0.000 0.000
0.000 3.700 0.000
-0.114 0.000 5.556
Li Ta Si
1 1 2
Direct
0.000 0.000 0.000
0.000 0.000 0.500
0.498 0.500 0.766
0.502 0.500 0.234

---

ZrIn2Co (PBE, optimized geometry); total moment = 0.000 μB per atom; E_form = 0.165 eV per atom; density of states at the Fermi level = 6.868 states/eV per cell; VASP energy = -5.12 eV/atom
1.0
-3.831 3.831 2.795
3.831 -3.831 2.795
3.831 3.831 -2.795
Zr In Co
2 4 2
Direct
0.000 0.000 0.000
0.750 0.250 0.500
0.175 0.625 0.050
0.375 0.425 0.550
0.575 0.125 0.950
0.875 0.825 0.450
0.250 0.750 0.500
0.500 0.500 0.000

---

Zr3SbSe8 (PBE, optimized geometry); total moment = 0.000 μB per atom; density of states at the Fermi level = 3.349 states/eV per cell; VASP energy = -5.83 eV/atom
1.0
6.687 -3.864 0.000
6.687 3.864 0.000
-4.554 0.000 6.916
Zr Sb Se
3 1 8
Direct
0.000 0.000 0.000
0.000 0.500 0.000
0.500 0.000 0.000
0.500 0.500 0.000
0.238 0.748 0.229
0.244 0.244 0.227
0.252 0.252 0.771
0.252 0.762 0.771
0.748 0.238 0.229
0.748 0.748 0.229
0.756 0.756 0.773
0.762 0.252 0.771

---

Tm3Mg2Pd2 (PBE, optimized geometry); total moment = 0.000 μB per atom; E_form = -0.516 eV per atom; density of states at the Fermi level = 5.065 states/eV per cell; VASP energy = -4.37 eV/atom; offset from the most stable computed form = 7 meV/atom
1.0
6.163 -1.762 0.000
6.163 1.762 0.000
-3.648 0.000 7.609
Tm Mg Pd
3 2 2
Direct
0.000 0.000 0.000
0.114 0.114 0.444
0.886 0.886 0.556
0.339 0.339 0.175
0.661 0.661 0.825
0.320 0.320 0.770
0.680 0.680 0.230

---

Li3NiMo (PBE, optimized geometry); total moment = 0.968 μB per atom; E_form = 1.623 eV per atom; density of states at the Fermi level = 4.522 states/eV per cell; VASP energy = -2.85 eV/atom; offset from the most stable computed form = 572 meV/atom
1.0
4.800 0.000 0.000
0.000 4.800 0.000
0.000 0.000 4.800
Li Ni Mo
3 1 1
Direct
0.000 0.000 0.500
0.000 0.500 0.000
0.500 0.000 0.000
0.500 0.500 0.500
0.000 0.000 0.000

---

CoNi (PBE, optimized geometry); total moment = 1.215 μB per atom; E_form = 0.101 eV per atom; density of states at the Fermi level = 4.372 states/eV per cell; VASP energy = -6.34 eV/atom
1.0
0.000 2.808 2.808
2.808 0.000 2.808
2.808 2.808 0.000
Co Ni
2 2
Direct
0.125 0.125 0.125
0.875 0.875 0.875
0.375 0.375 0.375
0.625 0.625 0.625